! SrPmAs2Pd5 (GGA-PBE, relaxed); values from VASP
! DFT total energy (eV/cell): -47.9
! Magnetization (Bohr magnetons per cell): 0.0
&SYSTEM
  ibrav = 0, nat = 9, ntyp = 4
/
ATOMIC_SPECIES
Sr 87.62 Sr.upf
Pm 145.00 Pm.upf
As 74.92 As.upf
Pd 106.42 Pd.upf
CELL_PARAMETERS angstrom
4.383 0.000 0.000
0.000 4.383 0.000
0.000 0.000 9.054
ATOMIC_POSITIONS angstrom
Sr 0.000 0.000 4.527
Pm 0.000 0.000 0.000
As 2.191 2.191 1.256
As 2.191 2.191 7.798
Pd 0.000 2.191 2.399
Pd 2.191 0.000 2.399
Pd 0.000 2.191 6.655
Pd 2.191 0.000 6.655
Pd 2.191 2.191 4.527